No. 1
A plane-wave DFT calculation with PBE-GGA was carried out for CdSb2 after structural relaxation.

a = 3.8588 Å, b = 3.8588 Å, c = 23.1466 Å
α = 90.00°, β = 90.00°, γ = 90.00°
Space group I4_1/amd (No. 141, origin choice 2)
Symmetry-distinct sites (fractional):
Cd  0.0000  0.2500  0.3750 [4 per cell]
Sb  0.0000  0.2500  0.7971 [8 per cell]

Raw total energy in eV for the cell shown: -34.36
Energy relative to the elements, uncorrected in eV/atom: 0.190

---

No. 2
A plane-wave DFT calculation with PBE-GGA was carried out for TlCuHgS after structural relaxation.

a = 4.1371 Å, b = 4.1371 Å, c = 11.3978 Å
α = 90.00°, β = 90.00°, γ = 90.00°
Space group P4/nmm (No. 129, origin choice 2)
Symmetry-distinct sites (fractional):
Tl  0.2500  0.2500  0.2238 [2 per cell]
Cu  0.2500  0.7500  0.0000 [2 per cell]
Hg  0.2500  0.7500  0.5000 [2 per cell]
S  0.2500  0.2500  0.8864 [2 per cell]

Raw total energy in eV for the cell shown: -22.99
Energy relative to the elements, uncorrected in eV/atom: -0.151

---

No. 3
A plane-wave DFT calculation with PBE-GGA was carried out for PmAl4Tc after structural relaxation.

a = 7.8324 Å, b = 4.1768 Å, c = 7.0082 Å
α = 90.00°, β = 90.00°, γ = 90.00°
Space group Pmma (No. 51)
Symmetry-distinct sites (fractional):
Pm  0.2500  0.0000  0.1334 [2 per cell]
Al  0.0000  0.0000  0.5000 [2 per cell]
Al  0.0669  0.5000  0.8105 [4 per cell]
Al  0.2500  0.5000  0.4670 [2 per cell]
Tc  0.2500  0.0000  0.7018 [2 per cell]

Raw total energy in eV for the cell shown: -65.28
ΔE_f in eV/atom: -0.425

---

No. 4
A plane-wave DFT calculation with PBE-GGA was carried out for RbY2O after structural relaxation.

a = 7.4131 Å, b = 7.4131 Å, c = 10.4767 Å
α = 90.00°, β = 90.00°, γ = 90.00°
Space group I-42d (No. 122)
Symmetry-distinct sites (fractional):
Rb  0.0000  0.0000  0.0000 [4 per cell]
Y  0.0008  0.2500  0.6250 [8 per cell]
O  0.0000  0.0000  0.5000 [4 per cell]

Raw total energy in eV for the cell shown: -92.14
Energy relative to the elements, uncorrected in eV/atom: -1.045